P | # CsNaAl3 (PBE, optimized geometry)
# Size of the total moment in μB per cell: 0.000
data_CsNaAl3
_symmetry_space_group_name_H-M 'P m -3 m'
_symmetry_Int_Tables_number 221
_symmetry_space_group_name_Hall '-P 4 2 3'
_cell_length_a 6.202
_cell_length_b 6.202
_cell_length_c 6.202
_cell_angle_alpha 90.00
_cell_angle_beta 90.00
_cell_angle_gamma 90.00
loop_
_atom_site_label
_atom_site_fract_x
_atom_site_fract_y
_atom_site_fract_z
Cs1 0.000 0.000 0.000
Na1 0.500 0.500 0.500
Al1 0.000 0.000 0.500

Q | # CsNaAl3 (PBE, optimized geometry)
# Size of the total moment in μB per cell: 0.000
data_CsNaAl3
_symmetry_space_group_name_H-M 'P m -3 m'
_symmetry_Int_Tables_number 221
_symmetry_space_group_name_Hall '-P 4 2 3'
_cell_length_a 5.649
_cell_length_b 5.649
_cell_length_c 5.649
_cell_angle_alpha 90.00
_cell_angle_beta 90.00
_cell_angle_gamma 90.00
loop_
_atom_site_label
_atom_site_fract_x
_atom_site_fract_y
_atom_site_fract_z
Cs1 0.000 0.000 0.000
Na1 0.500 0.500 0.500
Al1 0.000 0.500 0.500

Most stable one: Q, least stable one: P.

P | # Cs3AlO3 (PBE, optimized geometry)
# Size of the total moment in μB per cell: 0.261
data_Cs3AlO3
_symmetry_space_group_name_H-M 'P 1 21/c 1'
_symmetry_Int_Tables_number 14
_symmetry_space_group_name_Hall '-P 2ybc'
_cell_length_a 8.116
_cell_length_b 7.245
_cell_length_c 11.412
_cell_angle_alpha 90.00
_cell_angle_beta 97.72
_cell_angle_gamma 90.00
loop_
_atom_site_label
_atom_site_fract_x
_atom_site_fract_y
_atom_site_fract_z
Cs1 0.044 0.124 0.156
Cs2 0.336 0.166 0.929
Cs3 0.374 0.678 0.801
Al1 0.141 0.571 0.061
O1 0.085 0.063 0.422
O2 0.225 0.707 0.537
O3 0.267 0.050 0.676

Q | # Cs3AlO3 (PBE, optimized geometry)
# Size of the total moment in μB per cell: 0.232
data_Cs3AlO3
_symmetry_space_group_name_H-M 'P 1 21/c 1'
_symmetry_Int_Tables_number 14
_symmetry_space_group_name_Hall '-P 2ybc'
_cell_length_a 7.908
_cell_length_b 13.516
_cell_length_c 7.155
_cell_angle_alpha 90.00
_cell_angle_beta 112.16
_cell_angle_gamma 90.00
loop_
_atom_site_label
_atom_site_fract_x
_atom_site_fract_y
_atom_site_fract_z
Cs1 0.026 0.145 0.442
Cs2 0.237 0.057 0.021
Cs3 0.413 0.699 0.634
Al1 0.361 0.546 0.018
O1 0.172 0.590 0.806
O2 0.339 0.576 0.248
O3 0.416 0.085 0.489

Most stable one: Q, least stable one: P.

P | # CsAl3P (PBE, optimized geometry)
# Size of the total moment in μB per cell: 0.012
data_CsAl3P
_symmetry_space_group_name_H-M 'P m -3 m'
_symmetry_Int_Tables_number 221
_symmetry_space_group_name_Hall '-P 4 2 3'
_cell_length_a 5.940
_cell_length_b 5.940
_cell_length_c 5.940
_cell_angle_alpha 90.00
_cell_angle_beta 90.00
_cell_angle_gamma 90.00
loop_
_atom_site_label
_atom_site_fract_x
_atom_site_fract_y
_atom_site_fract_z
Cs1 0.000 0.000 0.000
Al1 0.000 0.000 0.500
P1 0.500 0.500 0.500

Q | # CsAl3P (PBE, optimized geometry)
# Size of the total moment in μB per cell: 0.000
data_CsAl3P
_symmetry_space_group_name_H-M 'P m -3 m'
_symmetry_Int_Tables_number 221
_symmetry_space_group_name_Hall '-P 4 2 3'
_cell_length_a 5.218
_cell_length_b 5.218
_cell_length_c 5.218
_cell_angle_alpha 90.00
_cell_angle_beta 90.00
_cell_angle_gamma 90.00
loop_
_atom_site_label
_atom_site_fract_x
_atom_site_fract_y
_atom_site_fract_z
Cs1 0.000 0.000 0.000
Al1 0.000 0.500 0.500
P1 0.500 0.500 0.500

Most stable one: Q, least stable one: P.

P | # CsAlP3 (PBE, optimized geometry)
# Size of the total moment in μB per cell: 2.035
data_CsAlP3
_symmetry_space_group_name_H-M 'P m -3 m'
_symmetry_Int_Tables_number 221
_symmetry_space_group_name_Hall '-P 4 2 3'
_cell_length_a 5.568
_cell_length_b 5.568
_cell_length_c 5.568
_cell_angle_alpha 90.00
_cell_angle_beta 90.00
_cell_angle_gamma 90.00
loop_
_atom_site_label
_atom_site_fract_x
_atom_site_fract_y
_atom_site_fract_z
Cs1 0.000 0.000 0.000
Al1 0.500 0.500 0.500
P1 0.000 0.000 0.500

Q | # CsAlP3 (PBE, optimized geometry)
# Size of the total moment in μB per cell: 0.000
data_CsAlP3
_symmetry_space_group_name_H-M 'P m -3 m'
_symmetry_Int_Tables_number 221
_symmetry_space_group_name_Hall '-P 4 2 3'
_cell_length_a 4.915
_cell_length_b 4.915
_cell_length_c 4.915
_cell_angle_alpha 90.00
_cell_angle_beta 90.00
_cell_angle_gamma 90.00
loop_
_atom_site_label
_atom_site_fract_x
_atom_site_fract_y
_atom_site_fract_z
Cs1 0.000 0.000 0.000
Al1 0.500 0.500 0.500
P1 0.000 0.500 0.500

Most stable one: Q, least stable one: P.

P | # CsAlPS2 (PBE, optimized geometry)
# Size of the total moment in μB per cell: 2.328
data_CsAlPS2
_symmetry_space_group_name_H-M 'P 4/m m m'
_symmetry_Int_Tables_number 123
_symmetry_space_group_name_Hall '-P 4 2'
_cell_length_a 5.647
_cell_length_b 5.647
_cell_length_c 5.855
_cell_angle_alpha 90.00
_cell_angle_beta 90.00
_cell_angle_gamma 90.00
loop_
_atom_site_label
_atom_site_fract_x
_atom_site_fract_y
_atom_site_fract_z
Cs1 0.000 0.000 0.000
Al1 0.500 0.500 0.500
P1 0.000 0.000 0.500
S1 0.000 0.500 0.000

Q | # CsAlPS2 (PBE, optimized geometry)
# Size of the total moment in μB per cell: 0.905
data_CsAlPS2
_symmetry_space_group_name_H-M 'P 4/m m m'
_symmetry_Int_Tables_number 123
_symmetry_space_group_name_Hall '-P 4 2'
_cell_length_a 4.948
_cell_length_b 4.948
_cell_length_c 4.861
_cell_angle_alpha 90.00
_cell_angle_beta 90.00
_cell_angle_gamma 90.00
loop_
_atom_site_label
_atom_site_fract_x
_atom_site_fract_y
_atom_site_fract_z
Cs1 0.000 0.000 0.000
Al1 0.500 0.500 0.500
P1 0.500 0.500 0.000
S1 0.000 0.500 0.500

Most stable one: Q, least stable one: P.

P | # CsAl3Pb (PBE, optimized geometry)
# Size of the total moment in μB per cell: 0.000
data_CsAl3Pb
_symmetry_space_group_name_H-M 'P m -3 m'
_symmetry_Int_Tables_number 221
_symmetry_space_group_name_Hall '-P 4 2 3'
_cell_length_a 5.768
_cell_length_b 5.768
_cell_length_c 5.768
_cell_angle_alpha 90.00
_cell_angle_beta 90.00
_cell_angle_gamma 90.00
loop_
_atom_site_label
_atom_site_fract_x
_atom_site_fract_y
_atom_site_fract_z
Cs1 0.000 0.000 0.000
Al1 0.000 0.500 0.500
Pb1 0.500 0.500 0.500

Q | # CsAl3Pb (PBE, optimized geometry)
# Size of the total moment in μB per cell: 0.000
data_CsAl3Pb
_symmetry_space_group_name_H-M 'P m -3 m'
_symmetry_Int_Tables_number 221
_symmetry_space_group_name_Hall '-P 4 2 3'
_cell_length_a 5.824
_cell_length_b 5.824
_cell_length_c 5.824
_cell_angle_alpha 90.00
_cell_angle_beta 90.00
_cell_angle_gamma 90.00
loop_
_atom_site_label
_atom_site_fract_x
_atom_site_fract_y
_atom_site_fract_z
Cs1 0.000 0.000 0.000
Al1 0.000 0.000 0.500
Pb1 0.500 0.500 0.500

Most stable one: P, least stable one: Q.

P | # Cs2AlPb (PBE, optimized geometry)
# Size of the total moment in μB per cell: 0.000
data_Cs2AlPb
_symmetry_space_group_name_H-M 'I -4 2 d'
_symmetry_Int_Tables_number 122
_symmetry_space_group_name_Hall 'I -4 2bw'
_cell_length_a 14.393
_cell_length_b 14.393
_cell_length_c 5.277
_cell_angle_alpha 90.00
_cell_angle_beta 90.00
_cell_angle_gamma 90.00
loop_
_atom_site_label
_atom_site_fract_x
_atom_site_fract_y
_atom_site_fract_z
Cs1 0.059 0.250 0.125
Al1 0.000 0.000 0.000
Pb1 0.000 0.000 0.500

Q | # Cs2AlPb (PBE, optimized geometry)
# Size of the total moment in μB per cell: 0.129
data_Cs2AlPb
_symmetry_space_group_name_H-M 'F m -3 m'
_symmetry_Int_Tables_number 225
_symmetry_space_group_name_Hall '-F 4 2 3'
_cell_length_a 9.033
_cell_length_b 9.033
_cell_length_c 9.033
_cell_angle_alpha 90.00
_cell_angle_beta 90.00
_cell_angle_gamma 90.00
loop_
_atom_site_label
_atom_site_fract_x
_atom_site_fract_y
_atom_site_fract_z
Cs1 0.250 0.250 0.250
Al1 0.000 0.000 0.000
Pb1 0.000 0.000 0.500

Most stable one: P, least stable one: Q.

P | # CsAl3Pd (PBE, optimized geometry)
# Size of the total moment in μB per cell: 0.000
data_CsAl3Pd
_symmetry_space_group_name_H-M 'P m -3 m'
_symmetry_Int_Tables_number 221
_symmetry_space_group_name_Hall '-P 4 2 3'
_cell_length_a 4.977
_cell_length_b 4.977
_cell_length_c 4.977
_cell_angle_alpha 90.00
_cell_angle_beta 90.00
_cell_angle_gamma 90.00
loop_
_atom_site_label
_atom_site_fract_x
_atom_site_fract_y
_atom_site_fract_z
Cs1 0.000 0.000 0.000
Al1 0.000 0.500 0.500
Pd1 0.500 0.500 0.500

Q | # CsAl3Pd (PBE, optimized geometry)
# Size of the total moment in μB per cell: 0.000
data_CsAl3Pd
_symmetry_space_group_name_H-M 'P m -3 m'
_symmetry_Int_Tables_number 221
_symmetry_space_group_name_Hall '-P 4 2 3'
_cell_length_a 5.788
_cell_length_b 5.788
_cell_length_c 5.788
_cell_angle_alpha 90.00
_cell_angle_beta 90.00
_cell_angle_gamma 90.00
loop_
_atom_site_label
_atom_site_fract_x
_atom_site_fract_y
_atom_site_fract_z
Cs1 0.000 0.000 0.000
Al1 0.000 0.000 0.500
Pd1 0.500 0.500 0.500

Most stable one: P, least stable one: Q.